w) Compound: KLi2Ni
Source: the Alexandria database
Functional: GGA-PBE
Structure: relaxed

Computed properties:
N(E_F) in states/eV/cell: 1.95
Calculated volume in A^3/atom: 24.84
Space group: Imm2, No. 44

Cell lengths 8.312, 8.312, 8.312 Å; angles 159.34, 150.60, 36.21 degrees
Fractional positions:
Li (0.982, 0.982, 0.000)
K (0.670, 0.170, 0.500)
Li (0.361, 0.861, 0.500)
Ni (0.488, 0.488, 0.000)

=====

x) Compound: KLi2Ni
Source: the Alexandria database
Functional: GGA-PBE
Structure: relaxed

Computed properties:
N(E_F) in states/eV/cell: 2.00
Calculated volume in A^3/atom: 22.48
Space group: C2/m, No. 12

Cell lengths 4.566, 4.566, 6.839 Å; angles 83.34, 83.34, 39.45 degrees
Fractional positions:
Ni (0.250, 0.250, 0.250)
Li (0.972, 0.972, 0.105)
K (0.750, 0.750, 0.750)
Li (0.528, 0.528, 0.395)

=====

y) Compound: KLi2Ni
Source: the Alexandria database
Functional: GGA-PBE
Structure: relaxed

Computed properties:
N(E_F) in states/eV/cell: 1.83
Calculated volume in A^3/atom: 21.47
Space group: Cmmm, No. 65

Cell lengths 4.614, 4.614, 4.033 Å; angles 90.00, 90.00, 90.16 degrees
Fractional positions:
K (0.000, 0.500, 0.500)
Ni (0.500, 0.000, 0.500)
Li (0.000, 0.000, 0.000)
Li (0.500, 0.500, 0.000)

=====

Calculated relative energies: w) 0.0; x) 2.1; y) 19.2, given in kJ/mol of atoms